Entry 1:
{
  "formula": "YAlOF2",
  "functional": "PBE-GGA",
  "state": "relaxed",
  "cell": [[4.456, 0.000, 0.000], [0.000, 4.456, 0.000], [0.000, 0.000, 4.409]],
  "species": ["Y", "Al", "O", "F", "F"],
  "fractional_positions": [[0.000, 0.000, 0.000], [0.500, 0.500, 0.500], [0.000, 0.000, 0.500], [0.000, 0.500, 0.000], [0.500, 0.000, 0.000]],
  "polymorph_energy_mev_per_atom": 0,
  "space_group": "P4/mmm (123)",
  "formation_energy_uncorrected_kj_per_mol_atoms": -246.89,
  "volume_a3_per_atom": 17.510,
  "e_tot_ev_per_cell": -31.70,
  "dos_ef_per_ev_atom": 0.00
}


Entry 2:
{
  "formula": "YAlOF2",
  "functional": "PBE-GGA",
  "state": "relaxed",
  "cell": [[4.374, 0.000, 0.000], [0.000, 4.374, 0.000], [0.000, 0.000, 3.505]],
  "species": ["Y", "Al", "O", "F", "F"],
  "fractional_positions": [[0.000, 0.000, 0.000], [0.500, 0.500, 0.500], [0.500, 0.500, 0.000], [0.000, 0.500, 0.500], [0.500, 0.000, 0.500]],
  "polymorph_energy_mev_per_atom": 298,
  "space_group": "P4/mmm (123)",
  "formation_energy_uncorrected_kj_per_mol_atoms": -218.16,
  "volume_a3_per_atom": 13.410,
  "e_tot_ev_per_cell": -30.21,
  "dos_ef_per_ev_atom": 0.73
}